No. 1
DFT (PBE) results for an optimized crystal structure of SmTh2Pa.

Unit cell a=4.7960 b=5.0212 c=5.0212 alpha=90.00 beta=90.00 gamma=90.00
Closest atoms and distances in Å follow each position.
Sites, in units of the cell vectors:
Pa (0.5000, 0.5000, 0.5000)  8 Th 3.47, 4 Sm 3.55
Sm (0.5000, 0.0000, 0.0000)  8 Th 3.47, 4 Pa 3.55
Th (0.0000, 0.0000, 0.5000)  4 Pa 3.47, 4 Sm 3.47, 4 Th 3.55
Th (0.0000, 0.5000, 0.0000)  4 Pa 3.47, 4 Sm 3.47, 4 Th 3.55

Output
symmetry = P4/mmm, No. 123
formation energy from the elements = 0.18 eV per atom
density = 11.610 Mg/m³



No. 2
DFT (PBE) results for an optimized crystal structure of BaBeTeH2.

Unit cell a=4.3304 b=7.1359 c=4.3304 alpha=90.00 beta=90.00 gamma=90.00
Closest atoms and distances in Å follow each position.
Sites, in units of the cell vectors:
Be (0.5000, 0.5000, 0.5000)  4 Ba 3.06
Te (0.0000, 0.0000, 0.0000)  4 H 2.17
Ba (0.0000, 0.5000, 0.0000)  4 Be 3.06
H (0.0000, 0.0000, 0.5000)  2 Te 2.17
H (0.5000, 0.0000, 0.0000)  2 Te 2.17

Output
symmetry = P4/mmm, No. 123
density = 3.424 Mg/m³
total energy = -2.46 eV per atom



No. 3
DFT (PBE) results for an optimized crystal structure of AcInAu6.

Unit cell a=5.6222 b=5.6222 c=5.6222 alpha=90.00 beta=90.00 gamma=90.00
Closest atoms and distances in Å follow each position.
Sites, in units of the cell vectors:
Ac (0.5000, 0.5000, 0.5000)  12 Au 3.16
In (0.0000, 0.0000, 0.0000)  12 Au 3.13
Au (0.5000, 0.7557, 0.0000)  2 Au 2.75-2.88
Au (0.7557, 0.0000, 0.5000)  2 Au 2.75-2.88
Au (0.0000, 0.5000, 0.2443)  2 Au 2.75-2.88
Au (0.2443, 0.0000, 0.5000)  2 Au 2.75-2.88
Au (0.5000, 0.2443, 0.0000)  2 Au 2.75-2.88
Au (0.0000, 0.5000, 0.7557)  2 Au 2.75-2.88

Output
symmetry = Pm-3, No. 200
formation energy from the elements = -0.29 eV per atom
density = 14.237 Mg/m³



No. 4
DFT (PBE) results for an optimized crystal structure of CaLaCuNi.

Unit cell a=4.0331 b=4.1593 c=5.9530 alpha=90.00 beta=109.80 gamma=90.00
Closest atoms and distances in Å follow each position.
Sites, in units of the cell vectors:
Ca (0.1415, 0.0000, 0.2829)  4 Cu 3.02, 3 Ni 3.11-3.23
La (0.8644, 0.5000, 0.7289)  4 Ni 2.99, 2 Cu 3.01
Cu (0.5643, 0.5000, 0.1285)  2 Ni 2.57
Ni (0.4299, 0.0000, 0.8597)  2 Cu 2.57

Output
symmetry = Amm2, No. 38
formation energy from the elements = -0.21 eV per atom
density = 5.324 Mg/m³



No. 5
DFT (PBE) results for an optimized crystal structure of BaSbAu2.

Unit cell a=4.0589 b=4.0589 c=7.2505 alpha=90.00 beta=90.00 gamma=90.01
Closest atoms and distances in Å follow each position.
Sites, in units of the cell vectors:
Au (0.0000, 0.0000, 0.9220)  4 Sb 2.90
Au (0.5000, 0.5000, 0.2464)  1 Sb 2.79
Ba (0.0000, 0.0000, 0.4698)  5 Au 3.28-3.30
Sb (0.5000, 0.5000, 0.8617)  5 Au 2.79-2.90

Output
symmetry = P4mm, No. 99
density = 9.078 Mg/m³
total energy = -3.51 eV per atom



No. 6
DFT (PBE) results for an optimized crystal structure of KAsPbO6.

Unit cell a=5.4127 b=5.4127 c=6.0101 alpha=90.00 beta=90.00 gamma=60.00
Closest atoms and distances in Å follow each position.
Sites, in units of the cell vectors:
K (0.0000, 0.0000, 0.0000)  6 O 2.80
As (0.3333, 0.3333, 0.5000)  6 O 1.85
Pb (0.6666, 0.6667, 0.5000)  6 O 2.20
O (0.0484, 0.3518, 0.3177)  1 As 1.85
O (0.3517, 0.0485, 0.6822)  1 As 1.85
O (0.5997, 0.3518, 0.6822)  1 As 1.85
O (0.0484, 0.5998, 0.6822)  1 As 1.85
O (0.3518, 0.5998, 0.3177)  1 As 1.85
O (0.5998, 0.0485, 0.3177)  1 As 1.85

Output
symmetry = P312, No. 149
density = 4.543 Mg/m³
total energy = -5.22 eV per atom



No. 7
DFT (PBE) results for an optimized crystal structure of InB.

Unit cell a=4.0742 b=4.0742 c=5.1533 alpha=90.00 beta=90.00 gamma=120.00
Closest atoms and distances in Å follow each position.
Sites, in units of the cell vectors:
In (0.3333, 0.6667, 0.7500)  5 B 2.35-2.58
In (0.6667, 0.3333, 0.2500)  5 B 2.35-2.58
B (0.3333, 0.6667, 0.2500)  5 In 2.35-2.58
B (0.6667, 0.3333, 0.7500)  5 In 2.35-2.58

Output
symmetry = P6_3/mmc, No. 194
formation energy from the elements = 1.11 eV per atom
density = 5.632 Mg/m³



No. 8
DFT (PBE) results for an optimized crystal structure of ZrFeRe.

Unit cell a=5.1770 b=5.1770 c=8.3974 alpha=90.00 beta=90.00 gamma=120.19
Closest atoms and distances in Å follow each position.
Sites, in units of the cell vectors:
Zr (0.3321, 0.6679, 0.1816)  7 Fe 2.99-3.03, 5 Re 3.00-3.06, 4 Zr 3.05-3.17
Zr (0.6656, 0.3344, 0.3076)  5 Fe 2.97-3.07, 7 Re 2.98-3.06, 4 Zr 3.16-3.23
Zr (0.6656, 0.3344, 0.6924)  5 Fe 2.97-3.07, 7 Re 2.98-3.06, 4 Zr 3.16-3.23
Zr (0.3321, 0.6679, 0.8184)  7 Fe 2.99-3.03, 5 Re 3.00-3.06, 4 Zr 3.05-3.17
Fe (0.0013, 0.9987, 0.2400)  2 Fe 2.52, 4 Re 2.53-2.65
Fe (0.0013, 0.9987, 0.7600)  2 Fe 2.52, 4 Re 2.53-2.65
Fe (0.8326, 0.6623, 0.0000)  4 Fe 2.52-2.61, 2 Re 2.55-2.62
Fe (0.3377, 0.1674, 0.0000)  4 Fe 2.52-2.61, 2 Re 2.55-2.62
Re (0.8315, 0.1685, 0.0000)  6 Fe 2.53-2.62
Re (0.1672, 0.3352, 0.5000)  4 Re 2.57-2.61, 2 Fe 2.65
Re (0.6648, 0.8328, 0.5000)  4 Re 2.57-2.61, 2 Fe 2.65
Re (0.1681, 0.8319, 0.5000)  4 Re 2.57-2.61, 2 Fe 2.65

Output
symmetry = Amm2, No. 38
formation energy from the elements = -0.28 eV per atom
density = 11.379 Mg/m³



No. 9
DFT (PBE) results for an optimized crystal structure of AcEuAlCd.

Unit cell a=5.6008 b=5.6008 c=5.6008 alpha=60.00 beta=60.00 gamma=60.00
Closest atoms and distances in Å follow each position.
Sites, in units of the cell vectors:
Eu (0.5000, 0.5000, 0.5000)  4 Al 3.43, 4 Cd 3.43
Ac (0.0000, 0.0000, 0.0000)  4 Cd 3.43, 4 Al 3.43
Al (0.2500, 0.2500, 0.2500)  4 Ac 3.43, 4 Eu 3.43
Cd (0.7500, 0.7500, 0.7500)  4 Eu 3.43, 4 Ac 3.43

Output
symmetry = F-43m, No. 216
formation energy from the elements = -0.27 eV per atom
density = 6.928 Mg/m³



No. 10
DFT (PBE) results for an optimized crystal structure of ReMo2Pb.

Unit cell a=2.8754 b=2.8754 c=9.4398 alpha=90.00 beta=90.00 gamma=110.97
Closest atoms and distances in Å follow each position.
Sites, in units of the cell vectors:
Mo (0.0000, 0.0000, 0.9980)  2 Re 2.61, 6 Mo 2.68-2.88
Mo (0.5000, 0.5000, 0.2227)  6 Mo 2.68-2.88
Pb (0.0000, 0.0000, 0.4972)  4 Pb 2.88, 2 Mo 3.06, 2 Re 3.14
Re (0.5000, 0.5000, 0.7821)  2 Mo 2.61, 4 Re 2.88

Output
symmetry = Cmm2, No. 35
formation energy from the elements = 0.66 eV per atom
density = 13.335 Mg/m³



No. 11
DFT (PBE) results for an optimized crystal structure of CaTi3Be.

Unit cell a=4.6435 b=4.6435 c=4.6435 alpha=90.00 beta=90.00 gamma=90.00
Closest atoms and distances in Å follow each position.
Sites, in units of the cell vectors:
Be (0.0000, 0.0000, 0.0000)  6 Ti 2.32
Ca (0.5000, 0.5000, 0.5000)  12 Ti 3.28
Ti (0.0000, 0.5000, 0.0000)  2 Be 2.32
Ti (0.0000, 0.0000, 0.5000)  2 Be 2.32
Ti (0.5000, 0.0000, 0.0000)  2 Be 2.32

Output
symmetry = Pm-3m, No. 221
formation energy from the elements = 0.54 eV per atom
density = 3.196 Mg/m³



No. 12
DFT (PBE) results for an optimized crystal structure of HfScTc2.

Unit cell a=5.9953 b=5.9953 c=5.9953 alpha=56.33 beta=152.69 gamma=131.74
Closest atoms and distances in Å follow each position.
Sites, in units of the cell vectors:
Hf (0.0000, 0.5000, 0.5000)  2 Tc 2.65, 4 Sc 2.83, 2 Hf 2.83
Sc (0.0000, 0.0000, 0.0000)  2 Tc 2.63, 4 Hf 2.83, 2 Sc 2.83
Tc (0.0000, 0.2492, 0.2492)  1 Sc 2.63, 1 Hf 2.65, 6 Tc 2.83
Tc (0.0000, 0.7508, 0.7508)  1 Sc 2.63, 1 Hf 2.65, 6 Tc 2.83

Output
symmetry = Immm, No. 71
formation energy from the elements = 0.65 eV per atom
density = 9.499 Mg/m³



- What is the density in the sixth record?
  4.543 Mg/m³